! K2ScPt2 GGA-PBE optimized geometry; values from VASP
! Total DFT energy (no corrections) (eV/cell): -43.5
! DOS at the Fermi energy (states/eV/cell): 4.81
! Energy relative to the elements (kcal/mol of atoms): -5.2
&SYSTEM
  ibrav = 0, nat = 10, ntyp = 3
/
ATOMIC_SPECIES
K 39.10 K.upf
Sc 44.96 Sc.upf
Pt 195.08 Pt.upf
CELL_PARAMETERS angstrom
6.894 0.000 0.000
0.000 6.894 0.000
0.000 0.000 5.597
ATOMIC_POSITIONS angstrom
K 1.152 2.295 0.000
K 2.295 5.741 0.000
K 4.599 1.152 0.000
K 5.741 4.599 0.000
Sc 0.000 0.000 2.798
Sc 3.447 3.447 2.798
Pt 0.928 4.375 2.798
Pt 2.519 0.928 2.798
Pt 4.375 5.966 2.798
Pt 5.966 2.519 2.798


! KSc2Pt2 GGA-PBE optimized geometry; values from VASP
! Total DFT energy (no corrections) (eV/cell): -58.7
! DOS at the Fermi energy (states/eV/cell): 4.23
! Energy relative to the elements (kcal/mol of atoms): -16.1
! ΔE to the lowest computed polymorph (meV/atom): 38
&SYSTEM
  ibrav = 0, nat = 10, ntyp = 3
/
ATOMIC_SPECIES
K 39.10 K.upf
Sc 44.96 Sc.upf
Pt 195.08 Pt.upf
CELL_PARAMETERS angstrom
8.290 0.000 0.000
0.000 8.290 0.000
0.000 0.000 3.038
ATOMIC_POSITIONS angstrom
K 0.000 0.000 0.000
K 4.145 4.145 0.000
Sc 1.137 3.008 0.000
Sc 3.008 7.153 0.000
Sc 5.282 1.137 0.000
Sc 7.153 5.282 0.000
Pt 1.240 5.385 1.519
Pt 2.905 1.240 1.519
Pt 5.385 7.051 1.519
Pt 7.051 2.905 1.519


! KScPt4 GGA-PBE optimized geometry; values from VASP
! Total DFT energy (no corrections) (eV/cell): -34.6
! DOS at the Fermi energy (states/eV/cell): 6.16
! Energy relative to the elements (kcal/mol of atoms): -11.6
&SYSTEM
  ibrav = 0, nat = 6, ntyp = 3
/
ATOMIC_SPECIES
K 39.10 K.upf
Sc 44.96 Sc.upf
Pt 195.08 Pt.upf
CELL_PARAMETERS angstrom
0.000 3.830 3.830
3.830 0.000 3.830
3.830 3.830 0.000
ATOMIC_POSITIONS angstrom
K 0.000 0.000 0.000
Sc 1.915 1.915 1.915
Pt 4.786 2.874 2.874
Pt 2.874 4.786 2.874
Pt 2.874 2.874 4.786
Pt 4.786 4.786 4.786


! KSc2Pt2 GGA-PBE optimized geometry; values from VASP
! Total DFT energy (no corrections) (eV/cell): -29.5
! DOS at the Fermi energy (states/eV/cell): 4.01
! Energy relative to the elements (kcal/mol of atoms): -17.0
! ΔE to the lowest computed polymorph (meV/atom): 0
&SYSTEM
  ibrav = 0, nat = 5, ntyp = 3
/
ATOMIC_SPECIES
K 39.10 K.upf
Sc 44.96 Sc.upf
Pt 195.08 Pt.upf
CELL_PARAMETERS angstrom
-2.288 2.288 5.669
2.288 -2.288 5.669
2.288 2.288 -5.669
ATOMIC_POSITIONS angstrom
K 0.000 0.000 0.000
Sc 2.288 0.000 2.834
Sc 0.000 2.288 2.834
Pt 0.000 0.000 4.306
Pt 0.000 0.000 7.032